AcEuMgRh GGA-PBE relaxed; formation energy from the elements = -4.4 kcal/mol of atoms; crystal system = cubic
1.0
-0.917 -3.149 4.258
4.002 -1.166 3.393
0.025 2.097 4.948
Eu Ac Rh Mg
1 1 1 1
direct
0.000 0.000 0.000 Eu
0.500 0.500 0.500 Ac
0.250 0.250 0.250 Rh
0.750 0.750 0.750 Mg